[1]
# YAuS2

A geometry-optimized YAuS2 structure (PBE, the Alexandria database).

Unit cell a=4.1362 b=4.1362 c=22.1090 alpha=90.00 beta=90.00 gamma=120.00
With the nearest neighbours (Å) after each atom.
Space group R-3m (No. 166, hexagonal axes)
Inequivalent atoms, fractional coordinates:
Y1 0.0000 0.0000 0.0000  6 S 2.76
Au1 0.0000 0.0000 0.5000  2 S 2.31
S1 0.0000 0.0000 0.3957  1 Au 2.31

=====

[2]
# YAuS3

A geometry-optimized YAuS3 structure (PBE, the Alexandria database).

Unit cell a=4.7972 b=4.7972 c=4.7972 alpha=90.00 beta=90.00 gamma=90.00
With the nearest neighbours (Å) after each atom.
Space group Pm-3m (No. 221)
Inequivalent atoms, fractional coordinates:
Y1 0.0000 0.0000 0.0000  12 S 3.39
Au1 0.5000 0.5000 0.5000  6 S 2.40
S1 0.0000 0.5000 0.5000  2 Au 2.40

excess energy over the best structure of this formula in the dataset: 0 meV/atom

=====

[3]
# Y2AuS2

A geometry-optimized Y2AuS2 structure (PBE, the Alexandria database).

Unit cell a=7.7215 b=7.7215 c=3.4684 alpha=90.00 beta=90.00 gamma=90.00
With the nearest neighbours (Å) after each atom.
Space group P4/mbm (No. 127)
Inequivalent atoms, fractional coordinates:
Y1 0.1639 0.3361 0.0000  6 S 2.79-2.90
Au1 0.0000 0.0000 0.5000  4 S 3.00
S1 0.1355 0.6355 0.5000  6 Y 2.79-2.90, 1 S 2.96, 2 Au 3.00

excess energy over the best structure of this formula in the dataset: 0 meV/atom

=====

[4]
# YAuS2

A geometry-optimized YAuS2 structure (PBE, the Alexandria database).

Unit cell a=7.2412 b=3.7904 c=12.0565 alpha=90.00 beta=90.00 gamma=90.00
With the nearest neighbours (Å) after each atom.
Space group Pnma (No. 62)
Inequivalent atoms, fractional coordinates:
Y1 0.1437 0.2500 0.1569  7 S 2.79-2.89
Au1 0.1134 0.7500 0.4351  3 S 2.47-2.54
S1 0.0827 0.2500 0.7325  1 Au 2.47
S2 0.1695 0.7500 0.9876  2 Au 2.54, 2 Y 2.79

=====

[5]
# YAuS2

A geometry-optimized YAuS2 structure (PBE, the Alexandria database).

Unit cell a=4.2816 b=4.2816 c=20.4225 alpha=90.00 beta=90.00 gamma=120.00
With the nearest neighbours (Å) after each atom.
Space group R3m (No. 160, hexagonal axes)
Inequivalent atoms, fractional coordinates:
Y1 0.0000 0.0000 0.0000  4 S 2.59-2.66
Au1 0.0000 0.0000 0.4490  3 S 2.48
S1 0.0000 0.0000 0.1267  3 Au 2.48, 1 Y 2.59
S2 0.0000 0.0000 0.6191  3 Y 2.66

=====

[6]
# YAuS2

A geometry-optimized YAuS2 structure (PBE, the Alexandria database).

Unit cell a=6.6109 b=6.6109 c=7.0616 alpha=90.00 beta=90.00 gamma=90.00
With the nearest neighbours (Å) after each atom.
Space group I4/mcm (No. 140)
Inequivalent atoms, fractional coordinates:
Y1 0.0000 0.0000 0.2500  8 S 2.97, 4 Au 3.31
Au1 0.0000 0.5000 0.2500  4 S 2.56
S1 0.1978 0.3022 0.0000  2 Au 2.56

=====

In Å³/cell, the V values for the records above are, in order, 327.6, 110.4, 206.8, 330.9, 324.2, 308.6.
In meV/atom, the energy relative to the elements, uncorrected values for the records above are, in order, -1302, -354, -1405, -1199, -1072, -995.